A relaxed Ca2Mg2Cu crystal. Source: Alexandria, functional PBE.

Properties
Energy of formation from the pure elements: 0.51 eV per formula unit

Geometry as POSCAR:
```
Ca2Mg2Cu
1.0
0.142 2.569 -2.691
-3.268 -1.487 0.983
-1.470 8.612 8.142
Ca Mg Cu
2 2 1
direct
0.333 0.667 0.165
0.667 0.333 0.835
0.333 0.667 0.599
0.667 0.333 0.401
0.000 0.000 0.000
```



A relaxed KRbCo2 crystal. Source: Alexandria, functional PBE.

Properties
Energy of formation from the pure elements: 5.75 eV per formula unit

Geometry as POSCAR:
```
KRbCo2
1.0
-1.839 -1.715 8.804
-8.642 -2.070 -2.209
-4.497 -4.600 2.926
K Co Rb
2 4 2
direct
0.500 0.500 0.000
0.250 0.750 0.500
0.621 0.125 0.250
0.129 0.625 0.250
0.375 0.379 0.750
0.875 0.871 0.750
0.000 0.000 0.000
0.750 0.250 0.500
```



A relaxed NbBTe2P crystal. Source: Alexandria, functional PBE.

Properties
E_form (uncorrected): 0.76 eV/atom

Geometry as POSCAR:
```
NbBTe2P
1.0
5.053 0.000 0.000
0.000 3.734 0.000
0.000 0.000 5.053
P Nb Te B
1 1 2 1
direct
0.000 0.500 0.000
0.500 0.500 0.500
0.000 0.000 0.500
0.500 0.000 0.000
0.000 0.000 0.000
```



A relaxed MnAg2Os crystal. Source: Alexandria, functional PBE.

Properties
Energy of formation from the pure elements: 2.47 eV per formula unit

Geometry as POSCAR:
```
MnAg2Os
1.0
2.727 -0.026 0.000
-1.241 2.428 0.000
0.000 0.000 9.793
Ag Mn Os
2 1 1
direct
0.000 0.000 0.006
0.000 0.000 0.494
0.500 0.500 0.250
0.500 0.500 0.750
```



A relaxed MnAu2Cl crystal. Source: Alexandria, functional PBE.

Properties
E_form (uncorrected): 0.08 eV/atom

Geometry as POSCAR:
```
MnAu2Cl
1.0
-1.955 -2.781 5.086
1.937 -5.311 2.335
1.878 5.359 -2.274
Au Cl Mn
2 1 1
direct
0.000 0.000 0.000
0.500 0.500 0.000
0.250 0.750 0.500
0.750 0.250 0.500
```



A relaxed NdPdI crystal. Source: Alexandria, functional PBE.

Properties
E_form (uncorrected): -0.92 eV/atom

Geometry as POSCAR:
```
NdPdI
1.0
4.127 0.000 0.000
0.000 7.930 -0.051
-2.064 -0.943 12.564
I Pd Nd
4 4 4
direct
0.093 0.333 0.186
0.429 0.166 0.858
0.571 0.834 0.142
0.907 0.667 0.814
0.246 0.623 0.492
0.749 0.874 0.499
0.754 0.377 0.508
0.251 0.126 0.501
0.335 0.404 0.671
0.668 0.112 0.336
0.665 0.596 0.329
0.332 0.888 0.664
```



A relaxed InPb6 crystal. Source: Alexandria, functional PBE.

Properties
Energy of formation from the pure elements: 0.33 eV per formula unit

Geometry as POSCAR:
```
InPb6
1.0
4.928 0.000 0.000
0.000 4.928 0.000
0.000 0.000 9.449
In Pb
1 6
direct
0.000 0.000 0.000
0.000 0.000 0.500
0.500 0.500 0.000
0.500 0.000 0.738
0.000 0.500 0.262
0.500 0.000 0.262
0.000 0.500 0.738
```



A relaxed AsPdWBr2 crystal. Source: Alexandria, functional PBE.

Properties
E_form (uncorrected): 0.75 eV/atom

Geometry as POSCAR:
```
AsPdWBr2
1.0
-2.886 -2.876 3.050
4.188 -2.137 1.948
0.172 3.474 3.439
As Br Pd W
1 2 1 1
direct
0.000 0.000 0.500
0.000 0.500 0.000
0.500 0.000 0.000
0.500 0.500 0.500
0.000 0.000 0.000
```



A relaxed KTeOs3 crystal. Source: Alexandria, functional PBE.

Properties
E_form (uncorrected): 3.71 eV/atom

Geometry as POSCAR:
```
KTeOs3
1.0
-0.450 3.823 2.651
-4.077 0.959 -2.075
-2.242 -2.512 3.242
K Te Os
1 1 3
direct
0.000 0.000 0.000
0.500 0.500 0.500
0.000 0.500 0.000
0.000 0.000 0.500
0.500 0.000 0.000
```



A relaxed SmAgAs2O8 crystal. Source: Alexandria, functional PBE.

Properties
E_form (uncorrected): -1.35 eV/atom

Geometry as POSCAR:
```
SmAgAs2O8
1.0
6.072 0.067 0.000
-2.633 5.472 0.000
-1.719 -2.769 5.123
Sm Ag As O
1 1 2 8
direct
0.000 0.000 0.000
0.250 0.750 0.500
0.750 0.250 0.500
0.500 0.500 0.000
0.399 0.081 0.318
0.322 0.499 0.177
0.322 0.145 0.823
0.763 0.081 0.682
0.855 0.678 0.177
0.919 0.237 0.318
0.919 0.601 0.682
0.501 0.678 0.823
```



A relaxed Mg6InHg crystal. Source: Alexandria, functional PBE.

Properties
Energy of formation from the pure elements: -0.90 eV per formula unit

Geometry as POSCAR:
```
Mg6InHg
1.0
-1.381 2.478 -3.414
-3.798 0.833 2.141
3.706 7.243 3.757
Mg In Hg
6 1 1
direct
0.500 0.500 0.000
0.500 0.500 0.500
0.500 0.000 0.246
0.500 0.000 0.754
0.000 0.500 0.246
0.000 0.500 0.754
0.000 0.000 0.500
0.000 0.000 0.000
```



A relaxed MnPRh2 crystal. Source: Alexandria, functional PBE.

Properties
Energy of formation from the pure elements: -0.91 eV per formula unit

Geometry as POSCAR:
```
MnPRh2
1.0
2.790 0.000 0.000
0.000 2.790 0.000
0.000 0.000 6.476
Mn P Rh
1 1 2
direct
0.000 0.000 0.539
0.500 0.500 0.730
0.000 0.000 0.956
0.500 0.500 0.274
```



A relaxed Mn3AgRh crystal. Source: Alexandria, functional PBE.

Properties
Energy of formation from the pure elements: 4.46 eV per formula unit

Geometry as POSCAR:
```
Mn3AgRh
1.0
4.788 0.000 0.000
0.000 4.788 0.000
0.000 0.000 4.788
Mn Rh Ag
3 1 1
direct
0.000 0.500 0.000
0.000 0.000 0.500
0.500 0.000 0.000
0.000 0.000 0.000
0.500 0.500 0.500
```



A relaxed InHg2AuCl crystal. Source: Alexandria, functional PBE.

Properties
E_form (uncorrected): -0.22 eV/atom

Geometry as POSCAR:
```
InHg2AuCl
1.0
-4.250 -3.047 1.328
0.406 -2.616 -4.701
3.300 -3.605 2.291
Cl Au Hg In
1 1 2 1
direct
0.500 0.500 0.500
0.000 0.000 0.000
0.000 0.500 0.000
0.500 0.000 0.000
0.000 0.000 0.500
```



A relaxed CsMg3 crystal. Source: Alexandria, functional PBE.

Properties
Energy of formation from the pure elements: 0.99 eV per formula unit

Geometry as POSCAR:
```
CsMg3
1.0
-1.539 2.412 2.260
-4.445 -0.534 -2.457
-2.076 -6.082 5.076
Cs Mg
1 3
direct
0.500 0.000 0.138
0.000 0.000 0.662
0.000 0.500 0.450
0.500 0.500 0.750
```



A relaxed ScPaPd4 crystal. Source: Alexandria, functional PBE.

Properties
Energy of formation from the pure elements: -3.46 eV per formula unit

Geometry as POSCAR:
```
ScPaPd4
1.0
5.374 0.000 0.000
2.687 4.654 0.000
2.687 1.551 4.388
Sc Pa Pd
1 1 4
direct
0.250 0.250 0.250
0.000 0.000 0.000
0.625 0.625 0.126
0.625 0.126 0.625
0.625 0.625 0.625
0.126 0.625 0.625
```



A relaxed LaScCd crystal. Source: Alexandria, functional PBE.

Properties
Energy of formation from the pure elements: 0.09 eV per formula unit

Geometry as POSCAR:
```
LaScCd
1.0
4.641 -2.680 0.000
0.000 5.359 0.000
0.000 0.000 6.435
Sc Cd La
2 2 2
direct
0.333 0.667 0.250
0.667 0.333 0.750
0.000 0.000 0.000
0.000 0.000 0.500
0.333 0.667 0.750
0.667 0.333 0.250
```



A relaxed Be3ZnW crystal. Source: Alexandria, functional PBE.

Properties
Energy of formation from the pure elements: 7.48 eV per formula unit

Geometry as POSCAR:
```
Be3ZnW
1.0
-2.369 2.541 2.625
-2.857 -3.239 0.556
2.277 -1.420 3.429
Be Zn W
3 1 1
direct
0.000 0.500 0.000
0.000 0.000 0.500
0.500 0.000 0.000
0.500 0.500 0.500
0.000 0.000 0.000
```



A relaxed Cs3OsI crystal. Source: Alexandria, functional PBE.

Properties
E_form (uncorrected): 0.43 eV/atom

Geometry as POSCAR:
```
Cs3OsI
1.0
-1.966 4.919 -2.986
-1.101 -3.419 -4.907
-5.648 -1.046 1.996
Cs I Os
3 1 1
direct
0.000 0.500 0.000
0.000 0.000 0.500
0.500 0.000 0.000
0.500 0.500 0.500
0.000 0.000 0.000
```



A relaxed ZnBSbRh4 crystal. Source: Alexandria, functional PBE.

Properties
E_form (uncorrected): -0.19 eV/atom

Geometry as POSCAR:
```
ZnBSbRh4
1.0
5.703 0.000 0.000
0.000 5.760 0.000
-2.851 0.000 6.547
Zn B Sb Rh
2 2 2 8
direct
0.112 0.250 0.224
0.888 0.750 0.776
0.240 0.750 0.481
0.760 0.250 0.519
0.607 0.750 0.213
0.393 0.250 0.787
0.917 0.250 0.834
0.411 0.750 0.823
0.083 0.750 0.166
0.589 0.250 0.177
0.500 0.500 0.500
0.000 0.000 0.500
0.500 0.000 0.500
0.000 0.500 0.500
```



A relaxed LiNiIr2 crystal. Source: Alexandria, functional PBE.

Properties
Energy of formation from the pure elements: 0.12 eV per formula unit

Geometry as POSCAR:
```
LiNiIr2
1.0
4.101 0.000 0.000
0.000 4.101 0.000
0.000 0.000 2.951
Ir Li Ni
2 1 1
direct
0.000 0.000 0.000
0.500 0.500 0.000
0.500 0.000 0.500
0.000 0.500 0.500
```



A relaxed Ac12LaPm3 crystal. Source: Alexandria, functional PBE.

Properties
Energy of formation from the pure elements: 0.38 eV per formula unit

Geometry as POSCAR:
```
Ac12LaPm3
1.0
-2.324 1.975 4.628
-3.298 -4.448 0.242
15.152 -10.574 12.120
Ac La Pm
12 1 3
direct
0.500 0.500 0.000
0.500 0.500 0.251
0.500 0.500 0.500
0.500 0.500 0.749
0.500 0.000 0.126
0.500 0.000 0.375
0.500 0.000 0.625
0.500 0.000 0.874
0.000 0.500 0.126
0.000 0.500 0.375
0.000 0.500 0.625
0.000 0.500 0.874
0.000 0.000 0.000
0.000 0.000 0.251
0.000 0.000 0.500
0.000 0.000 0.749
```



A relaxed Mo2Pb2Au crystal. Source: Alexandria, functional PBE.

Properties
Energy of formation from the pure elements: 2.64 eV per formula unit

Geometry as POSCAR:
```
Mo2Pb2Au
1.0
7.024 0.000 0.000
0.000 7.024 0.000
0.000 0.000 4.334
Pb Mo Au
4 4 2
direct
0.177 0.677 0.500
0.677 0.823 0.500
0.823 0.323 0.500
0.323 0.177 0.500
0.380 0.880 0.000
0.880 0.620 0.000
0.620 0.120 0.000
0.120 0.380 0.000
0.000 0.000 0.000
0.500 0.500 0.000
```



A relaxed SrRh3 crystal. Source: Alexandria, functional PBE.

Properties
Energy of formation from the pure elements: 0.88 eV per formula unit

Geometry as POSCAR:
```
SrRh3
1.0
6.009 0.000 0.000
-3.005 5.204 0.000
0.000 0.000 9.323
Sr Rh
4 12
direct
0.000 0.000 0.000
0.000 0.000 0.500
0.333 0.667 0.250
0.667 0.333 0.750
0.500 0.000 0.000
0.500 0.000 0.500
0.000 0.500 0.000
0.500 0.500 0.000
0.500 0.500 0.500
0.000 0.500 0.500
0.813 0.626 0.250
0.187 0.374 0.750
0.374 0.187 0.250
0.813 0.187 0.250
0.187 0.813 0.750
0.626 0.813 0.750
```



A relaxed Sr2HgW crystal. Source: Alexandria, functional PBE.

Properties
Energy of formation from the pure elements: 3.37 eV per formula unit

Geometry as POSCAR:
```
Sr2HgW
1.0
3.652 -0.044 0.020
2.277 2.855 0.020
1.168 0.554 10.635
Hg Sr W
1 2 1
direct
0.250 0.250 0.250
0.996 0.996 0.984
0.504 0.504 0.516
0.750 0.750 0.750
```



A relaxed Nb2VAu2 crystal. Source: Alexandria, functional PBE.

Properties
Energy of formation from the pure elements: 2.64 eV per formula unit

Geometry as POSCAR:
```
Nb2VAu2
1.0
-1.796 -2.744 -1.716
2.384 0.206 -2.824
4.470 -5.990 0.909
Nb Au V
2 2 1
direct
0.410 0.410 0.179
0.590 0.590 0.821
0.750 0.250 0.500
0.250 0.750 0.500
0.000 0.000 0.000
```